Record 1
Density functional theory data (GGA-PBE) for crystalline TbDyNO at its relaxed geometry.

Calculated values
Calculated density (g/cm3): 8.1
Electronic total energy (eV/atom): -7.36
Excess energy over the best structure of this formula in the dataset (meV per atom): 489.2
Calculated volume (A^3/atom): 17.97

Cell lengths 4.2675, 4.2675, 7.8931 Å; angles 90.00, 90.00, 90.00 degrees
With the nearest neighbours (Å) after each atom.
Fractional coordinates of all 8 atoms:
1 Tb 0.0000 0.0000 0.5000  4 N 2.35
2 Tb 0.5000 0.5000 0.5000  4 N 2.35
3 N 0.0000 0.5000 0.6242  4 Tb 2.35
4 N 0.5000 0.0000 0.3758  4 Tb 2.35
5 O 0.5000 0.5000 0.0000  4 Dy 2.28
6 O 0.0000 0.0000 0.0000  4 Dy 2.28
7 Dy 0.0000 0.5000 0.1022  4 O 2.28
8 Dy 0.5000 0.0000 0.8978  4 O 2.28

***

Record 2
Density functional theory data (GGA-PBE) for crystalline TbDyNO at its relaxed geometry.

Calculated values
Calculated density (g/cm3): 8.8
Electronic total energy (eV/atom): -7.83
Excess energy over the best structure of this formula in the dataset (meV per atom): 21.1
Calculated volume (A^3/atom): 16.50

Cell lengths 6.6256, 8.0738, 4.9350 Å; angles 90.00, 90.00, 90.00 degrees
With the nearest neighbours (Å) after each atom.
Fractional coordinates of all 16 atoms:
1 N 0.9286 0.6240 0.0504  1 Tb 2.25, 4 Dy 2.27-2.47
2 N 0.5714 0.6240 0.5504  1 Tb 2.25, 4 Dy 2.27-2.47
3 N 0.4286 0.3760 0.0504  1 Tb 2.25, 4 Dy 2.27-2.47
4 N 0.0714 0.3760 0.5504  1 Tb 2.25, 4 Dy 2.27-2.47
5 Dy 0.5831 0.6264 0.0502  1 O 2.26, 4 N 2.27-2.47
6 Dy 0.4169 0.3736 0.5502  1 O 2.26, 4 N 2.27-2.47
7 Dy 0.9169 0.6264 0.5502  1 O 2.26, 4 N 2.27-2.47
8 Dy 0.0831 0.3736 0.0502  1 O 2.26, 4 N 2.27-2.47
9 Tb 0.4306 0.8775 0.5507  4 O 2.24-2.48, 1 N 2.25
10 Tb 0.5694 0.1225 0.0507  4 O 2.24-2.48, 1 N 2.25
11 Tb 0.9306 0.1225 0.5507  4 O 2.24-2.48, 1 N 2.25
12 Tb 0.0694 0.8775 0.0507  4 O 2.24-2.48, 1 N 2.25
13 O 0.4070 0.8665 0.0510  4 Tb 2.24-2.48, 1 Dy 2.26
14 O 0.9070 0.1335 0.0510  4 Tb 2.24-2.48, 1 Dy 2.26
15 O 0.0930 0.8665 0.5510  4 Tb 2.24-2.48, 1 Dy 2.26
16 O 0.5930 0.1335 0.5510  4 Tb 2.24-2.48, 1 Dy 2.26

***

Record 3
Density functional theory data (GGA-PBE) for crystalline TbDyNO at its relaxed geometry.

Calculated values
Calculated density (g/cm3): 8.7
Electronic total energy (eV/atom): -7.84
Excess energy over the best structure of this formula in the dataset (meV per atom): 7.1
Calculated volume (A^3/atom): 16.77

Cell lengths 3.9596, 4.8885, 6.9323 Å; angles 90.00, 90.00, 90.00 degrees
With the nearest neighbours (Å) after each atom.
Fractional coordinates of all 8 atoms:
1 N 0.0000 0.4387 0.6659  2 Dy 2.30, 3 Tb 2.30-2.44
2 N 0.0000 0.9387 0.3341  2 Dy 2.30, 3 Tb 2.30-2.44
3 Tb 0.0000 0.4387 0.3342  2 O 2.29, 3 N 2.30-2.44
4 Tb 0.0000 0.9387 0.6658  2 O 2.29, 3 N 2.30-2.44
5 Dy 0.5000 0.4387 0.8345  2 N 2.30, 3 O 2.32-2.45
6 Dy 0.5000 0.9387 0.1655  2 N 2.30, 3 O 2.32-2.45
7 O 0.5000 0.9379 0.8304  2 Tb 2.29, 3 Dy 2.32-2.45
8 O 0.5000 0.4379 0.1696  2 Tb 2.29, 3 Dy 2.32-2.45

***

Record 4
Density functional theory data (GGA-PBE) for crystalline DyTlNO at its relaxed geometry.

Calculated values
Calculated density (g/cm3): 10.8
Electronic total energy (eV/atom): -6.18
Excess energy over the best structure of this formula in the dataset (meV per atom): 0.0
Calculated volume (A^3/atom): 15.32

Cell lengths 5.0808, 5.0808, 4.7486 Å; angles 90.00, 90.00, 90.00 degrees
With the nearest neighbours (Å) after each atom.
Fractional coordinates of all 8 atoms:
1 Dy 0.0000 0.0000 0.5000  2 O 2.37, 4 N 2.54
2 Dy 0.5000 0.5000 0.5000  2 O 2.37, 4 N 2.54
3 Tl 0.5000 0.0000 0.0052  2 N 2.37-2.38, 4 O 2.54
4 Tl 0.0000 0.5000 0.9948  2 N 2.37-2.38, 4 O 2.54
5 N 0.0000 0.5000 0.4933  2 Tl 2.37-2.38, 4 Dy 2.54
6 N 0.5000 0.0000 0.5067  2 Tl 2.37-2.38, 4 Dy 2.54
7 O 0.5000 0.5000 0.0000  2 Dy 2.37, 4 Tl 2.54
8 O 0.0000 0.0000 0.0000  2 Dy 2.37, 4 Tl 2.54

***

- Look up the calculated volume of the fourth one.
  15.32 A^3/atom